Computed, not measured: a relaxed NdHo2Ge2Pt7 crystal at the PBE level of DFT.

CIF file:
```
data_NdHo2Ge2Pt7
_chemical_formula_sum 'Nd2 Ho4 Ge4 Pt14'
_space_group_name_H-M_alt 'C 1 2/m 1'
_space_group_IT_number 12
_space_group_name_Hall '-C 2y'
_cell_length_a 5.822
_cell_length_b 5.742
_cell_length_c 14.123
_cell_angle_alpha 90.00
_cell_angle_beta 99.66
_cell_angle_gamma 90.00
loop_
_atom_site_label
_atom_site_fract_x
_atom_site_fract_y
_atom_site_fract_z
_atom_site_occupancy
Nd1 0.000 0.000 0.000 1
Ho1 0.129 0.000 0.360 1
Ge1 0.108 0.500 0.262 1
Pt1 0.000 0.500 0.000 1
Pt2 0.141 0.500 0.435 1
Pt3 0.183 0.250 0.838 1
```

Output
calculated volume	232.7	Å³/f.u.
DFT formation energy	-11.04	eV/f.u.

***

Computed, not measured: a relaxed Mo2PbCl crystal at the PBE level of DFT.

CIF file:
```
data_Mo2PbCl
_chemical_formula_sum 'Mo4 Pb2 Cl2'
_space_group_name_H-M_alt 'I m m m'
_space_group_IT_number 71
_space_group_name_Hall '-I 2 2'
_cell_length_a 2.912
_cell_length_b 5.449
_cell_length_c 9.349
_cell_angle_alpha 90.00
_cell_angle_beta 90.00
_cell_angle_gamma 90.00
loop_
_atom_site_label
_atom_site_fract_x
_atom_site_fract_y
_atom_site_fract_z
_atom_site_occupancy
Mo1 0.000 0.000 0.228 1
Pb1 0.000 0.500 0.000 1
Cl1 0.000 0.500 0.500 1
```

Output
calculated volume	74.2	Å³/f.u.
formation energy from raw total energies	296	kJ/mol of formula units
energy above the lowest structure with this stoichiometry	701	meV/atom

***

Computed, not measured: a relaxed Ti2SnOs crystal at the PBE level of DFT.

CIF file:
```
data_Ti2SnOs
_chemical_formula_sum 'Ti2 Sn1 Os1'
_space_group_name_H-M_alt 'P 4/m m m'
_space_group_IT_number 123
_space_group_name_Hall '-P 4 2'
_cell_length_a 4.070
_cell_length_b 4.070
_cell_length_c 4.023
_cell_angle_alpha 90.00
_cell_angle_beta 90.00
_cell_angle_gamma 90.00
loop_
_atom_site_label
_atom_site_fract_x
_atom_site_fract_y
_atom_site_fract_z
_atom_site_occupancy
Ti1 0.000 0.500 0.000 1
Sn1 0.000 0.000 0.500 1
Os1 0.500 0.500 0.500 1
```

Output
calculated volume	66.7	Å³/f.u.
DFT formation energy	-1.07	eV/f.u.